Material: LaRhF2
Method: DFT, meta-GGA SCAN
State: PBEsol geometry

Cell: 3.147 3.147 7.722 Å, 78.24 78.24 60.00°
Atoms (fractional coordinates):
F1 0.908 0.908 0.275
F2 0.092 0.092 0.725
Rh1 0.000 0.000 0.000
La1 0.500 0.500 0.500

Space-group type = No. 166
Crystal system = trigonal
Energy relative to the elements, uncorrected = -1.74 eV per atom
ρ = 7.216 g/cm³


Material: La2RuF
Method: DFT, meta-GGA SCAN
State: PBEsol geometry

Cell: 4.847 4.847 4.847 Å, 60.00 60.00 60.00°
Atoms (fractional coordinates):
Ru1 0.500 0.500 0.500
F1 0.000 0.000 0.000
La1 0.250 0.250 0.250
La2 0.750 0.750 0.750

Space-group type = No. 225
Crystal system = cubic
Energy relative to the elements, uncorrected = -1.27 eV per atom
ρ = 8.204 g/cm³